Entry from Alexandria via LeMat-Bulk: a geometry-optimized DyTlPd3 structure (PBE).

```
DyTlPd3
1.0
-2.808 3.063 2.292
-5.040 -2.789 -2.446
-1.645 -2.571 6.321
Pd Dy Tl
6 2 2
direct
0.182 0.496 0.135 Pd
0.003 0.250 0.493 Pd
0.818 0.996 0.865 Pd
0.182 0.004 0.135 Pd
0.818 0.504 0.865 Pd
0.997 0.750 0.507 Pd
0.381 0.250 0.736 Dy
0.619 0.750 0.264 Dy
0.636 0.250 0.227 Tl
0.364 0.750 0.773 Tl
```

## Properties
* space-group type: P2_1/m (11)
* DFT formation energy: -0.510 eV per atom



Entry from Alexandria via LeMat-Bulk: a geometry-optimized NaTlC structure (PBE).

```
NaTlC
1.0
5.169 0.000 0.000
0.000 4.573 0.000
0.000 0.000 11.070
C Na Tl
4 4 4
direct
0.929 0.250 0.097 C
0.429 0.250 0.403 C
0.071 0.750 0.903 C
0.571 0.750 0.597 C
0.558 0.750 0.848 Na
0.442 0.250 0.152 Na
0.058 0.750 0.652 Na
0.942 0.250 0.348 Na
0.463 0.750 0.385 Tl
0.963 0.750 0.115 Tl
0.037 0.250 0.885 Tl
0.537 0.250 0.615 Tl
```

## Properties
* space-group type: Pnma (62)
* DFT formation energy: 1.153 eV per atom



Entry from Alexandria via LeMat-Bulk: a geometry-optimized Cd2HgI6 structure (PBE).

```
Cd2HgI6
1.0
7.499 0.407 0.394
2.635 10.918 -0.632
2.635 -0.278 10.933
I Cd Hg
12 4 2
direct
0.890 0.837 0.403 I
0.079 0.804 0.992 I
0.421 0.008 0.196 I
0.830 0.575 0.728 I
0.330 0.728 0.575 I
0.579 0.992 0.804 I
0.610 0.597 0.163 I
0.921 0.196 0.008 I
0.390 0.403 0.837 I
0.670 0.272 0.425 I
0.170 0.425 0.272 I
0.110 0.163 0.597 I
0.640 0.790 0.628 Cd
0.140 0.628 0.790 Cd
0.360 0.210 0.372 Cd
0.860 0.372 0.210 Cd
0.750 0.799 0.201 Hg
0.250 0.201 0.799 Hg
```

## Properties
* E_form (uncorrected): -4.4 eV per formula unit
* space-group type: C2/c (15)



Entry from Alexandria via LeMat-Bulk: a geometry-optimized MgPdRh structure (PBE).

```
MgPdRh
1.0
-2.397 -0.550 1.531
0.691 -2.812 0.071
3.645 2.486 3.861
Mg Pd Rh
1 1 1
direct
0.282 0.282 0.565 Mg
0.948 0.948 0.897 Pd
0.619 0.619 0.238 Rh
```

## Properties
* space-group type: I4mm (107)
* DFT formation energy: -0.305 eV per atom
* ΔE to the lowest computed polymorph: 0.000 eV/atom



Entry from Alexandria via LeMat-Bulk: a geometry-optimized Dy4MgAu structure (PBE).

```
Dy4MgAu
1.0
8.130 0.620 0.000
-2.716 7.688 0.000
-2.707 -4.154 6.473
Dy Mg Au
8 2 2
direct
0.338 0.519 0.819 Dy
0.174 0.982 0.193 Dy
0.700 0.519 0.181 Dy
0.732 0.039 0.307 Dy
0.269 0.950 0.681 Dy
0.789 0.982 0.807 Dy
0.732 0.424 0.693 Dy
0.269 0.588 0.319 Dy
0.246 0.246 0.000 Mg
0.996 0.496 0.500 Mg
0.753 0.753 0.000 Au
0.503 0.003 0.500 Au
```

## Properties
* space-group type: I4_1md (109)
* DFT formation energy: 0.184 eV per atom



Entry from Alexandria via LeMat-Bulk: a geometry-optimized MnTlBiBr6 structure (PBE).

```
MnTlBiBr6
1.0
7.261 0.000 0.000
-3.630 6.288 0.000
0.000 0.000 14.573
Br Tl Bi Mn
12 2 2 2
direct
0.620 0.640 0.640 Br
0.640 0.620 0.140 Br
0.980 0.360 0.140 Br
0.640 0.020 0.360 Br
0.380 0.360 0.360 Br
0.380 0.020 0.140 Br
0.020 0.380 0.640 Br
0.620 0.980 0.860 Br
0.360 0.380 0.860 Br
0.980 0.620 0.360 Br
0.020 0.640 0.860 Br
0.360 0.980 0.640 Br
0.000 0.000 0.000 Tl
0.000 0.000 0.500 Tl
0.333 0.667 0.250 Bi
0.667 0.333 0.750 Bi
0.667 0.333 0.250 Mn
0.333 0.667 0.750 Mn
```

## Properties
* E_form (uncorrected): -7.1 eV per formula unit
* space-group type: P-31c (163)



Entry from Alexandria via LeMat-Bulk: a geometry-optimized CsInHgPb structure (PBE).

```
CsInHgPb
1.0
-4.810 1.131 -0.301
-3.016 -2.742 -2.807
-4.077 -5.161 5.057
Pb In Cs Hg
1 1 1 1
direct
0.019 0.019 0.942 Pb
0.640 0.640 0.081 In
0.815 0.815 0.556 Cs
0.252 0.252 0.243 Hg
```

## Properties
* space-group type: R3m (160)
* DFT formation energy: -0.108 eV per atom
* ΔE to the lowest computed polymorph: 0.000 eV/atom



Entry from Alexandria via LeMat-Bulk: a geometry-optimized Ga2GeOs structure (PBE).

```
Ga2GeOs
1.0
5.776 0.000 0.000
0.000 5.776 0.000
2.888 2.888 5.680
Ge Ga Os
2 4 2
direct
0.500 0.500 0.000 Ge
0.250 0.750 0.500 Ge
0.649 0.125 0.250 Ga
0.375 0.351 0.750 Ga
0.101 0.625 0.250 Ga
0.875 0.899 0.750 Ga
0.000 0.000 0.000 Os
0.750 0.250 0.500 Os
```

## Properties
* space-group type: I-42d (122)
* DFT formation energy: 0.830 eV per atom



Entry from Alexandria via LeMat-Bulk: a geometry-optimized Pm5ErTl2 structure (PBE).

```
Pm5ErTl2
1.0
3.671 0.000 0.000
1.835 8.284 -0.745
1.835 1.782 8.124
Pm Er Tl
5 1 2
direct
0.000 0.500 0.500 Pm
0.363 0.415 0.860 Pm
0.637 0.140 0.585 Pm
0.637 0.585 0.140 Pm
0.363 0.860 0.415 Pm
0.000 0.000 0.000 Er
0.276 0.224 0.224 Tl
0.724 0.776 0.776 Tl
```

## Properties
* space-group type: Immm (71)
* DFT formation energy: -0.102 eV per atom
* ΔE to the lowest computed polymorph: 0.000 eV/atom



Entry from Alexandria via LeMat-Bulk: a geometry-optimized NiHgP2 structure (PBE).

```
NiHgP2
1.0
-1.948 0.006 -5.430
2.312 -3.268 -4.154
-2.782 0.726 5.001
P Ni Hg
2 1 1
direct
0.062 0.062 0.000 P
0.438 0.438 0.000 P
0.250 0.750 0.500 Ni
0.750 0.250 0.500 Hg
```

## Properties
* space-group type: Immm (71)
* DFT formation energy: 0.260 eV per atom



Entry from Alexandria via LeMat-Bulk: a geometry-optimized IrPb structure (PBE).

```
IrPb
1.0
-4.915 9.648 -1.390
-7.442 7.875 -1.334
-6.207 8.885 1.309
Pb Ir
2 2
direct
0.481 0.481 0.481 Pb
0.269 0.269 0.269 Pb
0.011 0.011 0.011 Ir
0.739 0.739 0.739 Ir
```

## Properties
* space-group type: R-3m (166)
* DFT formation energy: 0.534 eV per atom



Entry from Alexandria via LeMat-Bulk: a geometry-optimized Sr2TlAu structure (PBE).

```
Sr2TlAu
1.0
-3.541 2.192 6.098
-2.684 -1.662 6.675
3.348 1.285 3.607
Tl Sr Au
1 2 1
direct
0.444 0.444 0.556 Tl
0.262 0.262 0.238 Sr
0.047 0.047 0.953 Sr
0.746 0.746 0.754 Au
```

## Properties
* space-group type: Imm2 (44)
* DFT formation energy: -0.461 eV per atom
* ΔE to the lowest computed polymorph: 0.104 eV/atom



Ordered magnetic moment results: 0.00, 0.00, 0.00, 0.52, 0.00, 10.00, 0.00, 0.00, 0.00, 0.00, 0.00, 0.00; unit μB/cell.